Entry 1:
The following is a PBE-GGA calculation of LaTmPdPt after structural relaxation, from the Alexandria database.

## Properties
- VASP energy: -6.139 eV per atom
- E_form: -981 meV per atom

```
LaTmPdPt
1.0
-2.917 -2.748 -3.070
-0.746 -4.903 0.946
-4.518 -1.607 1.580
Tm Pt Pd La
1 1 1 1
Direct
0.250 0.250 0.250
0.000 0.000 0.000
0.500 0.500 0.500
0.750 0.750 0.750
```

***

Entry 2:
The following is a PBE-GGA calculation of LaTmPdPt after structural relaxation, from the Alexandria database.

## Properties
- VASP energy: -6.220 eV per atom
- E_form: -1062 meV per atom

```
LaTmPdPt
1.0
-3.103 1.982 -1.015
-2.445 -3.851 -0.045
0.314 -0.266 5.708
Pt Pd La Tm
1 1 1 1
Direct
0.410 0.000 0.819
0.586 0.500 0.172
0.139 0.000 0.277
0.866 0.500 0.732
```

***

Entry 3:
The following is a PBE-GGA calculation of LaYPdPt after structural relaxation, from the Alexandria database.

## Properties
- VASP energy: -6.701 eV per atom
- E_form: -1044 meV per atom

```
LaYPdPt
1.0
3.860 0.000 0.000
0.000 4.592 0.000
-1.930 0.000 5.419
La Y Pt Pd
1 1 1 1
Direct
0.138 0.000 0.276
0.865 0.500 0.731
0.411 0.000 0.821
0.586 0.500 0.172
```

***

Entry 4:
The following is a PBE-GGA calculation of La2ZnPdPt after structural relaxation, from the Alexandria database.

## Properties
- VASP energy: -5.311 eV per atom
- E_form: -839 meV per atom

```
La2ZnPdPt
1.0
-0.657 -0.323 4.305
1.789 -7.770 -0.310
6.021 4.081 1.225
La Pt Pd Zn
4 2 2 2
Direct
0.250 0.297 0.961
0.250 0.136 0.374
0.750 0.703 0.039
0.750 0.864 0.626
0.250 0.883 0.903
0.750 0.117 0.097
0.250 0.665 0.328
0.750 0.335 0.672
0.250 0.551 0.649
0.750 0.449 0.351
```